# Ca2TlRh

Ca2TlRh after structural relaxation (PBE, the Alexandria database).

a = 7.159 Å, b = 7.159 Å, c = 7.159 Å
α = 90.00°, β = 90.00°, γ = 90.00°
Fractional positions:
Ca1 0.000 0.000 0.000
Ca2 0.000 0.500 0.500
Ca3 0.250 0.250 0.250
Ca4 0.250 0.750 0.750
Ca5 0.500 0.000 0.500
Ca6 0.500 0.500 0.000
Ca7 0.750 0.250 0.750
Ca8 0.750 0.750 0.250
Tl1 0.000 0.000 0.500
Tl2 0.000 0.500 0.000
Tl3 0.500 0.000 0.000
Tl4 0.500 0.500 0.500
Rh1 0.250 0.250 0.750
Rh2 0.250 0.750 0.250
Rh3 0.750 0.250 0.250
Rh4 0.750 0.750 0.750

Properties
DFT formation energy = -0.70 eV per formula unit
space-group type = F-43m (216)
ΔE to the lowest computed polymorph = 19.08 kJ/mol of atoms



# IrBrCl2

IrBrCl2 after structural relaxation (PBE, the Alexandria database).

a = 2.988 Å, b = 2.988 Å, c = 37.644 Å
α = 90.00°, β = 90.00°, γ = 120.00°
Fractional positions:
Ir1 0.000 0.000 0.000
Ir2 0.333 0.667 0.667
Ir3 0.667 0.333 0.333
Br1 0.000 0.000 0.500
Br2 0.333 0.667 0.167
Br3 0.667 0.333 0.833
Cl1 0.000 0.000 0.059
Cl2 0.000 0.000 0.941
Cl3 0.333 0.667 0.608
Cl4 0.333 0.667 0.725
Cl5 0.667 0.333 0.275
Cl6 0.667 0.333 0.392

Properties
space-group type = R-3m (166)
ΔE to the lowest computed polymorph = 57.34 kJ/mol of atoms
formation energy (no corrections) = 0.19 eV/atom



# Ba4I3O2

Ba4I3O2 after structural relaxation (PBE, the Alexandria database).

a = 8.462 Å, b = 8.462 Å, c = 9.940 Å
α = 104.60°, β = 104.60°, γ = 27.85°
Fractional positions:
Ba1 0.092 0.092 0.212
Ba2 0.316 0.316 0.401
Ba3 0.684 0.684 0.599
Ba4 0.908 0.908 0.788
I1 0.000 0.000 0.500
I2 0.399 0.399 0.089
I3 0.601 0.601 0.911
O1 0.314 0.314 0.657
O2 0.686 0.686 0.343

Properties
space-group type = C2/m (12)
ΔE to the lowest computed polymorph = 3.35 kJ/mol of atoms
formation energy (no corrections) = -1.95 eV/atom



# Pr4SmPd2

Pr4SmPd2 after structural relaxation (PBE, the Alexandria database).

a = 8.179 Å, b = 6.650 Å, c = 8.187 Å
α = 90.00°, β = 110.44°, γ = 90.00°
Fractional positions:
Pr1 0.051 0.250 0.075
Pr2 0.298 0.000 0.798
Pr3 0.298 0.500 0.798
Pr4 0.425 0.250 0.451
Pr5 0.575 0.750 0.549
Pr6 0.702 0.000 0.202
Pr7 0.702 0.500 0.202
Pr8 0.949 0.750 0.925
Sm1 0.141 0.750 0.358
Sm2 0.859 0.250 0.642
Pd1 0.066 0.250 0.434
Pd2 0.358 0.750 0.141
Pd3 0.642 0.250 0.859
Pd4 0.934 0.750 0.566

Properties
DFT formation energy = -2.01 eV per formula unit
space-group type = P2_1/m (11)



# Li2CaHPd

Li2CaHPd after structural relaxation (PBE, the Alexandria database).

a = 4.068 Å, b = 4.068 Å, c = 4.730 Å
α = 90.00°, β = 90.00°, γ = 90.00°
Fractional positions:
Li1 0.000 0.500 0.000
Li2 0.500 0.000 0.000
Ca1 0.000 0.000 0.500
H1 0.000 0.000 0.000
Pd1 0.500 0.500 0.500

Properties
raw total energy = -3.25 eV/atom
space-group type = P4/mmm (123)



# Rb4Ac3ErTe8

Rb4Ac3ErTe8 after structural relaxation (PBE, the Alexandria database).

a = 10.220 Å, b = 10.220 Å, c = 10.220 Å
α = 55.85°, β = 55.85°, γ = 55.85°
Fractional positions:
Rb1 0.000 0.000 0.000
Rb2 0.000 0.500 0.500
Rb3 0.500 0.000 0.500
Rb4 0.500 0.500 0.000
Ac1 0.000 0.000 0.500
Ac2 0.000 0.500 0.000
Ac3 0.500 0.000 0.000
Er1 0.500 0.500 0.500
Te1 0.239 0.239 0.239
Te2 0.254 0.726 0.726
Te3 0.274 0.274 0.746
Te4 0.274 0.746 0.274
Te5 0.726 0.254 0.726
Te6 0.726 0.726 0.254
Te7 0.746 0.274 0.274
Te8 0.761 0.761 0.761

Properties
space-group type = R-3m (166)
formation energy (no corrections) = -1.45 eV/atom